The following is a PBE calculation of a geometry-optimized KRb2TlH structure, from Alexandria via LeMat-Bulk.

Results
Symmetry ... P4/mmm, No. 123
DFT total energy ... -1.7645 eV per atom
M_tot ... 0.0 μB per formula unit
Crystal system ... tetragonal

a b c (Å): 5.916 5.916 5.662
angles (deg): 90.00 90.00 90.00
Atoms (fractional coordinates):
1 Rb 0.500 0.000 0.000
2 Rb 0.000 0.500 0.000
3 K 0.000 0.000 0.500
4 Tl 0.500 0.500 0.500
5 H 0.000 0.000 0.000

***

The following is a PBE calculation of a geometry-optimized KRb2TlH structure, from Alexandria via LeMat-Bulk.

Results
Symmetry ... P4/mmm, No. 123
DFT total energy ... -1.6829 eV per atom
M_tot ... 0.0 μB per formula unit
Crystal system ... tetragonal

a b c (Å): 6.007 6.007 5.786
angles (deg): 90.00 90.00 90.00
Atoms (fractional coordinates):
1 Rb 0.500 0.000 0.000
2 Rb 0.000 0.500 0.000
3 H 0.000 0.000 0.000
4 K 0.500 0.500 0.500
5 Tl 0.000 0.000 0.500